[1]
CsLuOs after structural relaxation. Source: OQMD, functional PBE.

Calculated values
Energy above the most stable polymorph in this dataset: 0.0 kJ/mol of atoms
Total magnetic moment: 0.00 μB/atom
Space group: F-43m, No. 216
Volume: 28.10 Å³/atom

Cell: 4.9214 4.9214 4.9214 Å, 60.00 60.00 60.00°
Last column: nearest neighbours and their distance in Å.
Fractional positions:
Cs: 0.0000 0.0000 0.0000  4 Os 3.01
Lu: 0.5000 0.5000 0.5000  4 Os 3.01
Os: 0.2500 0.2500 0.2500  4 Lu 3.01, 4 Cs 3.01

[2]
CsLuOs after structural relaxation. Source: OQMD, functional PBE.

Calculated values
Energy above the most stable polymorph in this dataset: 95.2 kJ/mol of atoms
Total magnetic moment: 0.00 μB/atom
Space group: F-43m, No. 216
Volume: 26.41 Å³/atom

Cell: 4.8208 4.8208 4.8208 Å, 60.00 60.00 60.00°
Last column: nearest neighbours and their distance in Å.
Fractional positions:
Cs: 0.0000 0.0000 0.0000  4 Os 2.95, 4 Lu 2.95
Lu: 0.7500 0.7500 0.7500  4 Cs 2.95
Os: 0.2500 0.2500 0.2500  4 Cs 2.95

[3]
CsLuP2Se7 after structural relaxation. Source: OQMD, functional PBE.

Calculated values
Total magnetic moment: 0.00 μB/atom
Total energy: -4.39 eV per atom
Space group: C2, No. 5
Volume: 32.52 Å³/atom

Cell: 7.1297 7.1297 7.1817 Å, 96.08 96.08 96.97°
Last column: nearest neighbours and their distance in Å.
Fractional positions:
Cs: 0.0000 0.0000 0.0000  8 Se 3.78-4.10
Lu: 0.4025 0.5975 0.5000  6 Se 2.81-2.84
P: 0.5598 0.0490 0.4118  4 Se 2.21-2.33
P: 0.9510 0.4402 0.5881  4 Se 2.21-2.33
Se: 0.0209 0.5694 0.3341  1 P 2.21
Se: 0.2120 0.4568 0.7892  1 P 2.21
Se: 0.4306 0.9791 0.6659  1 P 2.21
Se: 0.4583 0.2746 0.2551  1 P 2.21
Se: 0.5432 0.7880 0.2108  1 P 2.21
Se: 0.7254 0.5417 0.7449  1 P 2.21
Se: 0.8879 0.1121 0.5000  2 P 2.33

[4]
CsLuPa after structural relaxation. Source: OQMD, functional PBE.

Calculated values
Energy above the most stable polymorph in this dataset: 0.0 kJ/mol of atoms
Total magnetic moment: 1.13 μB/atom
Space group: F-43m, No. 216
Volume: 45.04 Å³/atom

Cell: 5.7600 5.7600 5.7600 Å, 60.00 60.00 60.00°
Last column: nearest neighbours and their distance in Å.
Fractional positions:
Cs: 0.0000 0.0000 0.0000  4 Pa 3.53
Lu: 0.5000 0.5000 0.5000  4 Pa 3.53
Pa: 0.2500 0.2500 0.2500  4 Lu 3.53, 4 Cs 3.53

[5]
CsLuPa after structural relaxation. Source: OQMD, functional PBE.

Calculated values
Energy above the most stable polymorph in this dataset: 0.5 kJ/mol of atoms
Total magnetic moment: 0.44 μB/atom
Space group: F-43m, No. 216
Volume: 35.24 Å³/atom

Cell: 5.3074 5.3074 5.3074 Å, 60.00 60.00 60.00°
Last column: nearest neighbours and their distance in Å.
Fractional positions:
Cs: 0.0000 0.0000 0.0000  4 Lu 3.25, 4 Pa 3.25
Lu: 0.7500 0.7500 0.7500  4 Cs 3.25
Pa: 0.2500 0.2500 0.2500  4 Cs 3.25

[6]
CsLuPbS3 after structural relaxation. Source: OQMD, functional PBE.

Calculated values
Total magnetic moment: 0.00 μB/atom
Total energy: -4.85 eV per atom
Space group: Cmcm, No. 63
Volume: 33.65 Å³/atom

Cell: 9.0573 9.0573 11.5250 Å, 90.00 90.00 154.71°
Last column: nearest neighbours and their distance in Å.
Fractional positions:
Cs: 0.1828 0.8172 0.7500  2 S 3.25
Cs: 0.8172 0.1828 0.2500  2 S 3.25
Lu: 0.5000 0.5000 0.0000  6 S 2.67-2.88
Lu: 0.5000 0.5000 0.5000  6 S 2.67-2.88
Pb: 0.1057 0.8943 0.2500  4 S 2.72-2.85
Pb: 0.8943 0.1057 0.7500  4 S 2.72-2.85
S: 0.1013 0.8987 0.0030  2 Lu 2.67, 1 Pb 2.85
S: 0.1013 0.8987 0.4970  2 Lu 2.67, 1 Pb 2.85
S: 0.5001 0.4999 0.2500  2 Pb 2.72, 2 Lu 2.88
S: 0.4999 0.5001 0.7500  2 Pb 2.72, 2 Lu 2.88
S: 0.8987 0.1013 0.5030  2 Lu 2.67, 1 Pb 2.85
S: 0.8987 0.1013 0.9970  2 Lu 2.67, 1 Pb 2.85

[7]
CsLuTe3Pb after structural relaxation. Source: OQMD, functional PBE.

Calculated values
Total magnetic moment: 0.00 μB/atom
Total energy: -3.98 eV per atom
Space group: Cmcm, No. 63
Volume: 42.06 Å³/atom

Cell: 9.2313 9.2313 12.7941 Å, 90.00 90.00 152.42°
Last column: nearest neighbours and their distance in Å.
Fractional positions:
Cs: 0.2166 0.7834 0.7500  4 Te 3.72-4.12, 2 Pb 4.07
Cs: 0.7834 0.2166 0.2500  4 Te 3.72-4.12, 2 Pb 4.07
Lu: 0.5000 0.5000 0.0000  6 Te 3.04-3.22
Lu: 0.5000 0.5000 0.5000  6 Te 3.04-3.22
Te: 0.1168 0.8832 0.0045  2 Lu 3.04, 1 Pb 3.17
Te: 0.1168 0.8832 0.4955  2 Lu 3.04, 1 Pb 3.17
Te: 0.4779 0.5221 0.2500  2 Pb 3.01, 2 Lu 3.22
Te: 0.5221 0.4779 0.7500  2 Pb 3.01, 2 Lu 3.22
Te: 0.8832 0.1168 0.5045  2 Lu 3.04, 1 Pb 3.17
Te: 0.8832 0.1168 0.9955  2 Lu 3.04, 1 Pb 3.17
Pb: 0.0922 0.9078 0.2500  4 Te 3.01-3.17
Pb: 0.9078 0.0922 0.7500  4 Te 3.01-3.17

[8]
CsLuPd after structural relaxation. Source: OQMD, functional PBE.

Calculated values
Energy above the most stable polymorph in this dataset: 71.7 kJ/mol of atoms
Total magnetic moment: 0.00 μB/atom
Space group: F-43m, No. 216
Volume: 30.79 Å³/atom

Cell: 5.0737 5.0737 5.0737 Å, 60.00 60.00 60.00°
Last column: nearest neighbours and their distance in Å.
Fractional positions:
Cs: 0.0000 0.0000 0.0000  4 Pd 3.11, 4 Lu 3.11
Lu: 0.7500 0.7500 0.7500  4 Cs 3.11
Pd: 0.2500 0.2500 0.2500  4 Cs 3.11